Below is a geometry-optimized LiTmAgPb structure, with properties calculated at the PBE level.

Cell: 5.019 5.019 5.019 Å, 60.00 60.00 60.00°
Fractional positions:
1 Li 0.000 0.000 0.000
2 Tm 0.500 0.500 0.500
3 Ag 0.250 0.250 0.250
4 Pb 0.750 0.750 0.750

=====

Below is a geometry-optimized Li5Ag2Pd5 structure, with properties calculated at the PBE level.

Cell: 5.238 5.238 9.309 Å, 108.81 108.81 47.84°
Fractional positions:
1 Li 0.000 0.000 0.000
2 Li 0.160 0.160 0.486
3 Li 0.251 0.251 0.239
4 Li 0.749 0.749 0.761
5 Li 0.840 0.840 0.514
6 Ag 0.090 0.090 0.748
7 Ag 0.910 0.910 0.252
8 Pd 0.350 0.350 0.013
9 Pd 0.393 0.393 0.736
10 Pd 0.500 0.500 0.500
11 Pd 0.607 0.607 0.264
12 Pd 0.650 0.650 0.987

=====

Below is a geometry-optimized Li4Ag12Pd3 structure, with properties calculated at the PBE level.

Cell: 8.335 8.335 8.335 Å, 109.47 109.47 109.47°
Fractional positions:
1 Li 0.000 0.000 0.500
2 Li 0.000 0.500 0.000
3 Li 0.500 0.000 0.000
4 Li 0.500 0.500 0.500
5 Ag 0.102 0.355 0.747
6 Ag 0.253 0.608 0.355
7 Ag 0.253 0.898 0.645
8 Ag 0.355 0.253 0.608
9 Ag 0.355 0.747 0.102
10 Ag 0.392 0.645 0.747
11 Ag 0.608 0.355 0.253
12 Ag 0.645 0.253 0.898
13 Ag 0.645 0.747 0.392
14 Ag 0.747 0.102 0.355
15 Ag 0.747 0.392 0.645
16 Ag 0.898 0.645 0.253
17 Pd 0.000 0.500 0.500
18 Pd 0.500 0.000 0.500
19 Pd 0.500 0.500 0.000

=====

Below is a geometry-optimized LiAg2Pd2 structure, with properties calculated at the PBE level.

Cell: 5.109 5.109 5.109 Å, 131.21 115.70 84.69°
Fractional positions:
1 Li 0.000 0.000 0.000
2 Ag 0.312 0.812 0.500
3 Ag 0.688 0.188 0.500
4 Pd 0.258 0.500 0.758
5 Pd 0.742 0.500 0.242

=====

Below is a geometry-optimized LiAgPd2 structure, with properties calculated at the PBE level.

Cell: 4.451 4.451 4.451 Å, 60.00 60.00 60.00°
Fractional positions:
1 Li 0.000 0.000 0.000
2 Ag 0.750 0.750 0.750
3 Pd 0.250 0.250 0.250
4 Pd 0.500 0.500 0.500

=====

Below is a geometry-optimized Li2Ag4Pd3 structure, with properties calculated at the PBE level.

Cell: 6.333 6.333 6.295 Å, 107.56 107.56 37.12°
Fractional positions:
1 Li 0.159 0.159 0.497
2 Li 0.841 0.841 0.503
3 Ag 0.054 0.054 0.831
4 Ag 0.277 0.277 0.179
5 Ag 0.723 0.723 0.821
6 Ag 0.946 0.946 0.169
7 Pd 0.386 0.386 0.822
8 Pd 0.500 0.500 0.500
9 Pd 0.614 0.614 0.178

=====

Below is a geometry-optimized Li3Ag3Pd structure, with properties calculated at the PBE level.

Cell: 6.439 6.439 5.851 Å, 90.00 90.00 91.66°
Fractional positions:
1 Li 0.179 0.821 0.000
2 Li 0.233 0.233 0.500
3 Li 0.240 0.760 0.500
4 Li 0.760 0.240 0.500
5 Li 0.767 0.767 0.500
6 Li 0.821 0.179 0.000
7 Ag 0.000 0.500 0.253
8 Ag 0.000 0.500 0.747
9 Ag 0.500 0.000 0.253
10 Ag 0.500 0.000 0.747
11 Ag 0.500 0.500 0.247
12 Ag 0.500 0.500 0.753
13 Pd 0.230 0.230 0.000
14 Pd 0.770 0.770 0.000

=====

Below is a geometry-optimized Li10AgPd4 structure, with properties calculated at the PBE level.

Cell: 7.387 7.387 7.387 Å, 99.79 99.79 131.28°
Fractional positions:
1 Li 0.030 0.134 0.689
2 Li 0.134 0.446 0.105
3 Li 0.250 0.750 0.500
4 Li 0.341 0.030 0.895
5 Li 0.446 0.341 0.311
6 Li 0.554 0.659 0.689
7 Li 0.659 0.970 0.105
8 Li 0.750 0.250 0.500
9 Li 0.866 0.554 0.895
10 Li 0.970 0.866 0.311
11 Ag 0.500 0.500 0.000
12 Pd 0.101 0.303 0.403
13 Pd 0.303 0.899 0.202
14 Pd 0.697 0.101 0.798
15 Pd 0.899 0.697 0.597

=====

Below is a geometry-optimized LiAg3Pd4 structure, with properties calculated at the PBE level.

Cell: 5.873 5.873 5.873 Å, 125.00 81.71 124.79°
Fractional positions:
1 Li 0.000 0.000 0.000
2 Ag 0.023 0.523 0.500
3 Ag 0.030 0.267 0.763
4 Ag 0.504 0.267 0.237
5 Pd 0.012 0.773 0.240
6 Pd 0.523 0.270 0.747
7 Pd 0.523 0.777 0.253
8 Pd 0.533 0.773 0.760

=====

Below is a geometry-optimized Li2AgPd structure, with properties calculated at the PBE level.

Cell: 4.070 4.070 3.559 Å, 90.00 90.00 90.00°
Fractional positions:
1 Li 0.000 0.500 0.000
2 Li 0.500 0.000 0.000
3 Ag 0.000 0.000 0.500
4 Pd 0.500 0.500 0.500

=====

Below is a geometry-optimized Li2Ag5Pd3 structure, with properties calculated at the PBE level.

Cell: 7.442 7.442 8.773 Å, 108.70 108.70 21.74°
Fractional positions:
1 Li 0.179 0.179 0.118
2 Li 0.821 0.821 0.882
3 Ag 0.205 0.205 0.604
4 Ag 0.389 0.389 0.204
5 Ag 0.500 0.500 0.000
6 Ag 0.611 0.611 0.796
7 Ag 0.795 0.795 0.396
8 Pd 0.000 0.000 0.500
9 Pd 0.404 0.404 0.681
10 Pd 0.596 0.596 0.319

=====

Below is a geometry-optimized Li4Ag5Pd2 structure, with properties calculated at the PBE level.

Cell: 7.110 7.110 7.110 Å, 141.34 111.14 81.87°
Fractional positions:
1 Li 0.136 0.136 0.000
2 Li 0.235 0.500 0.735
3 Li 0.765 0.500 0.265
4 Li 0.864 0.864 0.000
5 Ag 0.098 0.769 0.329
6 Ag 0.440 0.769 0.671
7 Ag 0.500 0.000 0.500
8 Ag 0.560 0.231 0.329
9 Ag 0.902 0.231 0.671
10 Pd 0.360 0.360 0.000
11 Pd 0.640 0.640 0.000

=====

Number 1: total magnetization 0.0 μB/f.u., formation enthalpy at 0 K -32.06 kJ/mol of atoms. Number 2: total magnetization 0.0 μB/f.u., formation enthalpy at 0 K -30.46 kJ/mol of atoms. Number 3: total magnetization 0.0 μB/f.u., formation enthalpy at 0 K 21.97 kJ/mol of atoms. Number 4: total magnetization 0.0 μB/f.u., formation enthalpy at 0 K -3.96 kJ/mol of atoms. Number 5: total magnetization 0.0 μB/f.u., formation enthalpy at 0 K -19.61 kJ/mol of atoms. Number 6: total magnetization 0.0 μB/f.u., formation enthalpy at 0 K -18.22 kJ/mol of atoms. Number 7: total magnetization 0.0 μB/f.u., formation enthalpy at 0 K -14.99 kJ/mol of atoms. Number 8: total magnetization 0.0 μB/f.u., formation enthalpy at 0 K -11.20 kJ/mol of atoms. Number 9: total magnetization 0.0 μB/f.u., formation enthalpy at 0 K -2.72 kJ/mol of atoms. Number 10: total magnetization 0.0 μB/f.u., formation enthalpy at 0 K -32.26 kJ/mol of atoms. Number 11: total magnetization 0.0 μB/f.u., formation enthalpy at 0 K -8.20 kJ/mol of atoms. Number 12: total magnetization 0.0 μB/f.u., formation enthalpy at 0 K -12.41 kJ/mol of atoms.